10
Lattice="1.9182 -4.1176 0.0000 1.9182 4.1176 0.0000 0.0000 0.0000 7.4594" Properties=species:S:1:pos:R:3 comment="Be2ZnCu2 | Alexandria | GGA-PBE | relaxed" dos_ef_per_ev_cell=2.49 sg=Cmcm formation_enthalpy_0k_ev_per_atom=0.164 de_polymorph_kj_per_mol_atoms=21.4 e_tot_ev_per_cell=-32.2 volume_a3_per_cell=117.8 pbc="T T T"
Be 1.9182 3.9741 5.5945
Be 1.9182 1.3219 1.8648
Be 1.9182 -1.3219 5.5945
Be 1.9182 -3.9741 1.8648
Zn 1.9182 1.1815 5.5945
Zn 1.9182 -1.1815 1.8648
Cu 1.9182 2.8749 0.0466
Cu 1.9182 2.8749 3.6831
Cu 1.9182 -2.8749 3.7763
Cu 1.9182 -2.8749 7.4127

4
Lattice="4.6691 0.0000 0.0000 0.0000 4.6691 0.0000 0.0000 0.0000 3.6631" Properties=species:S:1:pos:R:3 comment="UTi2Pb | Alexandria | GGA-PBE | relaxed" dos_ef_per_ev_cell=7.81 sg=P4/mmm formation_enthalpy_0k_ev_per_atom=0.124 de_polymorph_kj_per_mol_atoms=0.0 e_tot_ev_per_cell=-30.3 volume_a3_per_cell=79.9 pbc="T T T"
U 0.0000 0.0000 0.0000
Ti 0.0000 2.3346 1.8315
Ti 2.3346 0.0000 1.8315
Pb 2.3346 2.3346 0.0000

4
Lattice="0.0000 3.5333 3.5333 3.5333 0.0000 3.5333 3.5333 3.5333 0.0000" Properties=species:S:1:pos:R:3 comment="EuCuAgHg | Alexandria | GGA-PBE | relaxed" dos_ef_per_ev_cell=9.44 sg=F-43m formation_enthalpy_0k_ev_per_atom=-0.120 e_tot_ev_per_cell=-18.0 volume_a3_per_cell=88.2 pbc="T T T"
Eu 0.0000 0.0000 0.0000
Cu 5.2999 5.2999 5.2999
Ag 1.7666 1.7666 1.7666
Hg 3.5333 3.5333 3.5333

4
Lattice="2.8073 -4.4457 0.0000 2.8073 4.4457 0.0000 0.0000 0.0000 2.7715" Properties=species:S:1:pos:R:3 comment="Mg2ZnW | Alexandria | GGA-PBE | relaxed" dos_ef_per_ev_cell=2.29 sg=Cmmm formation_enthalpy_0k_ev_per_atom=0.297 e_tot_ev_per_cell=-16.2 volume_a3_per_cell=69.2 pbc="T T T"
Mg 1.4036 2.2229 0.0000
Mg 1.4036 -2.2229 0.0000
Zn 0.0000 0.0000 1.3857
W 2.8073 0.0000 1.3857

12
Lattice="10.0742 0.0000 0.0000 0.0000 4.9269 0.0000 -3.6700 0.0000 10.2122" Properties=species:S:1:pos:R:3 comment="CsPmGaTe3 | Alexandria | GGA-PBE | relaxed" dos_ef_per_ev_cell=3.81 sg=P2_1/m raw_formation_energy_mev_per_atom=-992 e_tot_ev_per_cell=-48.0 volume_a3_per_cell=506.9 pbc="T T T"
Cs 1.2076 1.2317 2.4884
Cs 5.1967 3.6952 7.7238
Pm 0.1967 3.6952 8.8198
Pm 6.2076 1.2317 1.3925
Ga -1.1600 1.2317 6.0947
Ga 7.5642 3.6952 4.1175
Te -1.9181 1.2317 8.7333
Te -0.0059 3.6952 5.5441
Te 4.1481 3.6952 1.6887
Te 2.2562 1.2317 8.5236
Te 6.4102 1.2317 4.6682
Te 8.3224 3.6952 1.4789

5
Lattice="4.6341 0.0000 0.0000 0.0000 4.6341 0.0000 0.0000 0.0000 5.2354" Properties=species:S:1:pos:R:3 comment="TaReSi2I | Alexandria | GGA-PBE | relaxed" dos_ef_per_ev_cell=3.42 sg=P4/mmm raw_formation_energy_mev_per_atom=679 e_tot_ev_per_cell=-33.3 volume_a3_per_cell=112.4 pbc="T T T"
Ta 0.0000 0.0000 0.0000
Re 0.0000 0.0000 2.6177
Si 0.0000 2.3171 2.6177
Si 2.3171 0.0000 2.6177
I 2.3171 2.3171 0.0000

12
Lattice="-2.5819 4.6041 7.7390 2.5819 -4.6041 7.7390 2.5819 4.6041 -7.7390" Properties=species:S:1:pos:R:3 comment="AcLa5Sn6 | Alexandria | GGA-PBE | relaxed" dos_ef_per_ev_cell=9.32 sg=Immm formation_enthalpy_0k_ev_per_atom=-0.713 e_tot_ev_per_cell=-61.3 volume_a3_per_cell=368.0 pbc="T T T"
Ac 0.0000 0.0000 0.0000
La 2.5819 0.0000 2.5874
La 0.0000 0.0000 5.1684
La 0.0000 4.6041 0.0000
La 0.0000 0.0000 10.3095
La 0.0000 4.6041 5.1516
Sn 2.5819 -2.2857 5.1182
Sn 2.5819 2.3381 0.0000
Sn 0.0000 2.3184 2.6208
Sn 2.5819 2.2857 5.1182
Sn 0.0000 2.2659 7.7390
Sn 0.0000 6.8898 2.6208

4
Lattice="0.0000 3.2118 3.2118 3.2118 0.0000 3.2118 3.2118 3.2118 0.0000" Properties=species:S:1:pos:R:3 comment="NbCuAgAu | Alexandria | GGA-PBE | relaxed" dos_ef_per_ev_cell=1.60 sg=F-43m formation_enthalpy_0k_ev_per_atom=0.119 e_tot_ev_per_cell=-19.8 volume_a3_per_cell=66.3 pbc="T T T"
Nb 0.0000 0.0000 0.0000
Cu 1.6059 1.6059 1.6059
Ag 3.2118 3.2118 3.2118
Au 4.8176 4.8176 4.8176